A plane-wave DFT calculation with GGA-PBE was carried out for an optimized crystal structure of NdDyCu.

POSCAR file:
```
NdDyCu
1.0
6.9055 0.0000 0.0000
0.0000 6.9055 0.0000
0.0000 0.0000 6.9055
Nd Dy Cu
4 4 4
Cartesian
0.0000 0.0000 0.0000
0.0000 3.4528 3.4528
3.4528 0.0000 3.4528
3.4528 3.4528 0.0000
0.0000 0.0000 3.4528
0.0000 3.4528 0.0000
3.4528 0.0000 0.0000
3.4528 3.4528 3.4528
1.7264 1.7264 5.1792
1.7264 5.1792 1.7264
5.1792 1.7264 1.7264
5.1792 5.1792 5.1792
```

Energy of formation ... 0.09 eV/atom
VASP energy ... -12.800 eV/f.u.